First-principles (GGA-PBE) data for a relaxed structure of Al4VNi5, as listed in the Alexandria database.

Formation energy   -0.531 eV/atom
M_tot   1.6 μB/f.u.

Cell lengths 2.868, 2.868, 14.785 Å; angles 90.00, 90.00, 90.00 degrees
Sites, in units of the cell vectors:
Al1 0.000 0.000 0.098
Al2 0.000 0.000 0.296
Al3 0.000 0.000 0.704
Al4 0.000 0.000 0.902
V1 0.000 0.000 0.500
Ni1 0.500 0.500 0.000
Ni2 0.500 0.500 0.196
Ni3 0.500 0.500 0.395
Ni4 0.500 0.500 0.605
Ni5 0.500 0.500 0.804